Here is an optimized crystal structure of BaAcSbPt from Alexandria. Energies are from PBE.

The space group is F-43m (No. 216) and the conventional cell measures 8.001, 8.001 and 8.001 Å, with angles of 90.00, 90.00 and 90.00 degrees. The distinct sites, in fractional coordinates, are Ba at (0.000, 0.000, 0.000), Ac at (0.000, 0.000, 0.500), Sb at (0.250, 0.250, 0.750) and Pt at (0.250, 0.250, 0.250).

As for the density: 8.8 g/cm³. For the uncorrected formation energy, the calculation gives -83.0 kJ per mole of atoms.